Entry 1:
A relaxed structure of K3Pu2HgSe6, computed with PBE.

Calculated values
Its formation energy without anion corrections is -1.15 eV per atom. The space group is C2/m.

a = 7.371 Å, b = 7.371 Å, c = 8.011 Å
α = 98.75°, β = 98.75°, γ = 119.99°
Atoms (fractional coordinates):
K1 0.000 0.000 0.000
K2 0.339 0.661 0.000
K3 0.661 0.339 0.000
Pu1 0.167 0.833 0.500
Pu2 0.833 0.167 0.500
Hg1 0.500 0.500 0.500
Se1 0.087 0.431 0.294
Se2 0.225 0.225 0.703
Se3 0.431 0.087 0.294
Se4 0.569 0.913 0.706
Se5 0.775 0.775 0.297
Se6 0.913 0.569 0.706

---

Entry 2:
A relaxed structure of K2PuHg2Se4, computed with PBE.

Calculated values
Its formation energy without anion corrections is -0.85 eV per atom. The space group is C2/m.

a = 8.682 Å, b = 8.682 Å, c = 8.381 Å
α = 114.44°, β = 114.44°, γ = 27.90°
Atoms (fractional coordinates):
K1 0.126 0.126 0.072
K2 0.874 0.874 0.928
Pu1 0.000 0.000 0.500
Hg1 0.306 0.306 0.472
Hg2 0.694 0.694 0.528
Se1 0.181 0.181 0.740
Se2 0.480 0.480 0.724
Se3 0.520 0.520 0.276
Se4 0.819 0.819 0.260